Record 1
# MgNiIr2 GGA-PBE optimized geometry
data_MgNiIr2
_chemical_formula_sum 'Mg2 Ni2 Ir4'
_space_group_name_H-M_alt 'C m m m'
_space_group_IT_number 65
_space_group_name_Hall '-C 2 2'
_cell_length_a 2.887
_cell_length_b 4.601
_cell_length_c 8.627
_cell_angle_alpha 90.00
_cell_angle_beta 90.00
_cell_angle_gamma 90.00
loop_
_atom_site_label
_atom_site_fract_x
_atom_site_fract_y
_atom_site_fract_z
Mg1 0.000 0.000 0.000
Ni1 0.000 0.000 0.500
Ir1 0.000 0.500 0.259
# * E_form: 0.07 eV per atom
# * total energy: -6.205 eV per atom
# * V: 14.33 Å³/atom

=====

Record 2
# MgNi5Ir GGA-PBE optimized geometry
data_MgNi5Ir
_chemical_formula_sum 'Mg4 Ni20 Ir4'
_space_group_name_H-M_alt 'C 1 2/c 1'
_space_group_IT_number 15
_cell_length_a 6.376
_cell_length_b 7.028
_cell_length_c 8.287
_cell_angle_alpha 90.00
_cell_angle_beta 107.94
_cell_angle_gamma 90.00
loop_
_space_group_symop_operation_xyz
'x,y,z'
'-x,-y,-z'
'-x,y,-z+1/2'
'x,-y,z+1/2'
'x+1/2,y+1/2,z'
'-x+1/2,-y+1/2,-z'
'-x+1/2,y+1/2,-z+1/2'
'x+1/2,-y+1/2,z+1/2'
loop_
_atom_site_label
_atom_site_fract_x
_atom_site_fract_y
_atom_site_fract_z
Mg1 0.250 0.250 0.000
Ni1 0.000 0.083 0.750
Ni2 0.143 0.416 0.686
Ni3 0.165 0.106 0.528
Ir1 0.000 0.271 0.250
# * E_form: 0.01 eV per atom
# * total energy: -5.609 eV per atom
# * V: 12.62 Å³/atom

=====

Record 3
# MgNi2Ir GGA-PBE optimized geometry
data_MgNi2Ir
_chemical_formula_sum 'Mg2 Ni4 Ir2'
_space_group_name_H-M_alt 'C 1 m 1'
_space_group_IT_number 8
_cell_length_a 8.811
_cell_length_b 2.712
_cell_length_c 4.503
_cell_angle_alpha 90.00
_cell_angle_beta 102.37
_cell_angle_gamma 90.00
loop_
_space_group_symop_operation_xyz
'x,y,z'
'x,-y,z'
'x+1/2,y+1/2,z'
'x+1/2,-y+1/2,z'
loop_
_atom_site_label
_atom_site_fract_x
_atom_site_fract_y
_atom_site_fract_z
Mg1 0.000 0.000 0.000
Ni1 0.006 0.500 0.505
Ni2 0.246 0.000 0.778
Ir1 0.261 0.500 0.304
# * E_form: -0.11 eV per atom
# * total energy: -5.613 eV per atom
# * V: 13.14 Å³/atom

=====

- Which formula does entry 2 have?
  MgNi5Ir

=====

- Which of these has the highest E_form?
  MgNiIr2

=====

- What is the E_form in the first record?
  0.07 eV per atom